A plane-wave DFT calculation with PBE-GGA was carried out for crystalline Pm2Nd6Dy at its relaxed geometry.

Cell: 10.171 10.171 3.671 Å, 90.00 90.00 124.14°
Fractional coordinates of all 9 atoms:
Pm: 0.177 0.823 0.000
Pm: 0.823 0.177 0.000
Nd: 0.161 0.489 0.500
Nd: 0.316 0.316 0.000
Nd: 0.489 0.161 0.500
Nd: 0.511 0.839 0.500
Nd: 0.684 0.684 0.000
Nd: 0.839 0.511 0.500
Dy: 0.000 0.000 0.500

## Properties
**Volume**: 34.9 Å³/atom
**Crystal system**: orthorhombic
**VASP energy**: -4.616 eV/atom